Here is an optimized crystal structure of SnPAu2 from the Alexandria database. Energies are from PBE-GGA.

## Properties
Total energy   -14.94 eV per cell
ΔE_f   0.257 eV/atom
ΔE to the lowest computed polymorph   23.6 kJ per mole of atoms
Total moment   0.0 μB per formula unit

Cell: 4.814 4.814 4.814 Å, 60.00 60.00 60.00°
Atoms (fractional coordinates):
Au 0.750 0.750 0.750
Au 0.250 0.250 0.250
Sn 0.500 0.500 0.500
P 0.000 0.000 0.000

---

Here is an optimized crystal structure of SnPAu2 from the Alexandria database. Energies are from PBE-GGA.

## Properties
Total energy   -31.84 eV per cell
ΔE_f   0.012 eV/atom
ΔE to the lowest computed polymorph   0.0 kJ per mole of atoms
Total moment   0.0 μB per formula unit

Cell: 4.981 4.981 8.352 Å, 72.65 72.65 90.00°
Atoms (fractional coordinates):
Sn 0.000 0.000 0.000
Au 0.375 0.471 0.750
P 0.500 0.500 0.000
Au 0.221 0.625 0.250
Au 0.875 0.779 0.750
P 0.250 0.750 0.500
Au 0.529 0.125 0.250
Sn 0.750 0.250 0.500

---

Here is an optimized crystal structure of Sn2P2Au from the Alexandria database. Energies are from PBE-GGA.

## Properties
Total energy   -21.41 eV per cell
ΔE_f   0.138 eV/atom
ΔE to the lowest computed polymorph   0.0 kJ per mole of atoms
Total moment   0.0 μB per formula unit

Cell: 3.485 3.485 8.988 Å, 78.82 78.82 90.00°
Atoms (fractional coordinates):
P 0.750 0.250 0.500
Au 0.000 0.000 0.000
P 0.250 0.750 0.500
Sn 0.397 0.397 0.207
Sn 0.603 0.603 0.793

---

Here is an optimized crystal structure of Sn3P2Au from the Alexandria database. Energies are from PBE-GGA.

## Properties
Total energy   -26.29 eV per cell
ΔE_f   -0.031 eV/atom
Total moment   0.0 μB per formula unit

Cell: 3.993 3.993 8.913 Å, 102.95 102.95 90.00°
Atoms (fractional coordinates):
Sn 0.831 0.831 0.662
P 0.328 0.328 0.657
Sn 0.500 0.500 0.000
Au 0.000 0.000 0.000
P 0.672 0.672 0.343
Sn 0.169 0.169 0.338

---

Here is an optimized crystal structure of Sn3PAu from the Alexandria database. Energies are from PBE-GGA.

## Properties
Total energy   -18.15 eV per cell
ΔE_f   0.510 eV/atom
ΔE to the lowest computed polymorph   51.7 kJ per mole of atoms
Total moment   0.0 μB per formula unit

Cell: 5.203 5.203 5.203 Å, 90.00 90.00 90.00°
Atoms (fractional coordinates):
Sn 0.000 0.500 0.000
Sn 0.500 0.000 0.000
Sn 0.000 0.000 0.500
P 0.000 0.000 0.000
Au 0.500 0.500 0.500

---

Here is an optimized crystal structure of ZrSn2PAu from the Alexandria database. Energies are from PBE-GGA.

## Properties
Total energy   -22.83 eV per cell
ΔE_f   0.483 eV/atom
Total moment   0.0 μB per formula unit

Cell: 5.149 4.673 5.149 Å, 90.00 90.00 90.00°
Atoms (fractional coordinates):
Sn 0.500 0.000 0.000
P 0.000 0.000 0.000
Au 0.000 0.500 0.000
Zr 0.500 0.500 0.500
Sn 0.000 0.000 0.500

---

Here is an optimized crystal structure of Sr2PAu from the Alexandria database. Energies are from PBE-GGA.

## Properties
Total energy   -31.50 eV per cell
ΔE_f   -0.925 eV/atom
Total moment   0.0 μB per formula unit

Cell: 4.730 6.195 8.243 Å, 109.92 90.00 90.00°
Atoms (fractional coordinates):
Sr 0.750 0.242 0.931
Sr 0.750 0.227 0.436
P 0.750 0.677 0.295
Au 0.750 0.688 0.795
P 0.250 0.323 0.705
Au 0.250 0.312 0.205
Sr 0.250 0.758 0.069
Sr 0.250 0.773 0.564

---

Here is an optimized crystal structure of SrP2Au from the Alexandria database. Energies are from PBE-GGA.

## Properties
Total energy   -15.67 eV per cell
ΔE_f   0.028 eV/atom
ΔE to the lowest computed polymorph   57.3 kJ per mole of atoms
Total moment   0.0 μB per formula unit

Cell: 4.904 4.904 4.904 Å, 60.00 60.00 60.00°
Atoms (fractional coordinates):
P 0.750 0.750 0.750
Au 0.500 0.500 0.500
Sr 0.000 0.000 0.000
P 0.250 0.250 0.250

---

Here is an optimized crystal structure of SrP2Au from the Alexandria database. Energies are from PBE-GGA.

## Properties
Total energy   -16.73 eV per cell
ΔE_f   -0.238 eV/atom
ΔE to the lowest computed polymorph   31.6 kJ per mole of atoms
Total moment   0.0 μB per formula unit

Cell: 5.780 5.780 5.780 Å, 45.55 45.55 45.55°
Atoms (fractional coordinates):
Au 0.707 0.707 0.707
P 0.293 0.293 0.293
P 0.002 0.002 0.002
Sr 0.498 0.498 0.498

---

Here is an optimized crystal structure of Sr2PAu from the Alexandria database. Energies are from PBE-GGA.

## Properties
Total energy   -14.58 eV per cell
ΔE_f   -0.633 eV/atom
Total moment   0.0 μB per formula unit

Cell: 6.391 6.391 6.391 Å, 139.56 139.56 58.52°
Atoms (fractional coordinates):
Sr 0.250 0.750 0.500
Au 0.500 0.500 0.000
P 0.750 0.250 0.500
Sr 0.000 0.000 0.000

---

Here is an optimized crystal structure of SrP2Au from the Alexandria database. Energies are from PBE-GGA.

## Properties
Total energy   -17.01 eV per cell
ΔE_f   -0.308 eV/atom
ΔE to the lowest computed polymorph   24.9 kJ per mole of atoms
Total moment   0.0 μB per formula unit

Cell: 5.744 5.744 5.744 Å, 45.84 45.84 45.84°
Atoms (fractional coordinates):
Sr 0.250 0.250 0.250
P 0.047 0.047 0.047
Au 0.750 0.750 0.750
P 0.453 0.453 0.453

---

Here is an optimized crystal structure of SrP2Au from the Alexandria database. Energies are from PBE-GGA.

## Properties
Total energy   -15.51 eV per cell
ΔE_f   0.068 eV/atom
ΔE to the lowest computed polymorph   61.1 kJ per mole of atoms
Total moment   0.0 μB per formula unit

Cell: 4.945 4.945 4.945 Å, 60.00 60.00 60.00°
Atoms (fractional coordinates):
P 0.750 0.750 0.750
Sr 0.250 0.250 0.250
P 0.000 0.000 0.000
Au 0.500 0.500 0.500